(1)
Below is a relaxed structure of Zn5HgI12, with properties calculated at the PBE-GGA level.

POSCAR file:
```
Zn5HgI12
1.0
2.039 -12.795 0.914
1.419 -0.850 3.900
-14.542 16.103 11.365
I Hg Zn
12 1 5
Direct
0.855 0.450 0.846
0.262 0.681 0.617
0.218 0.583 0.882
0.618 0.196 0.617
0.937 0.501 0.610
0.635 0.196 0.906
0.782 0.417 0.118
0.738 0.319 0.383
0.382 0.804 0.383
0.063 0.499 0.390
0.145 0.550 0.154
0.365 0.804 0.094
0.000 0.000 0.000
0.965 0.006 0.555
0.035 0.994 0.445
0.186 0.088 0.934
0.814 0.912 0.066
0.500 0.000 0.500
```

Computed properties:
Crystal system: triclinic
Formation energy from raw total energies: -0.48 eV/atom

---

(2)
Below is a relaxed structure of Zn3HgI, with properties calculated at the PBE-GGA level.

POSCAR file:
```
Zn3HgI
1.0
-2.461 -4.024 -2.220
3.489 0.003 -3.874
2.992 -3.314 2.692
Zn Hg I
3 1 1
Direct
0.000 0.500 0.000
0.500 0.000 0.000
0.000 0.000 0.500
0.000 0.000 0.000
0.500 0.500 0.500
```

Computed properties:
Crystal system: cubic
Formation energy from raw total energies: 0.17 eV/atom
Energy above the most stable polymorph in this dataset: 0.000 eV/atom

---

(3)
Below is a relaxed structure of ZnHgI5, with properties calculated at the PBE-GGA level.

POSCAR file:
```
ZnHgI5
1.0
8.405 0.000 0.000
0.000 10.327 0.000
0.000 0.000 16.312
I Hg Zn
20 4 4
Direct
0.484 0.684 0.661
0.000 0.500 0.000
0.250 0.691 0.367
0.750 0.926 0.341
0.250 0.074 0.659
0.516 0.316 0.339
0.000 0.000 0.500
0.516 0.184 0.839
0.016 0.816 0.161
0.984 0.316 0.339
0.484 0.816 0.161
0.250 0.809 0.867
0.984 0.184 0.839
0.016 0.684 0.661
0.750 0.191 0.133
0.250 0.426 0.159
0.750 0.574 0.841
0.500 0.000 0.500
0.750 0.309 0.633
0.500 0.500 0.000
0.250 0.744 0.035
0.250 0.756 0.535
0.750 0.256 0.965
0.750 0.244 0.465
0.750 0.554 0.674
0.750 0.946 0.174
0.250 0.446 0.326
0.250 0.054 0.826
```

Computed properties:
Crystal system: orthorhombic
Formation energy from raw total energies: -0.19 eV/atom

---

(4)
Below is a relaxed structure of ZnHg2I2, with properties calculated at the PBE-GGA level.

POSCAR file:
```
ZnHg2I2
1.0
-6.328 8.803 -2.373
-4.000 -5.277 -8.906
-3.178 -1.638 2.398
Hg I Zn
4 4 2
Direct
0.085 0.585 0.500
0.415 0.085 0.500
0.915 0.415 0.500
0.585 0.915 0.500
0.709 0.791 0.000
0.791 0.291 0.000
0.291 0.209 0.000
0.209 0.709 0.000
0.500 0.500 0.000
0.000 0.000 0.000
```

Computed properties:
Crystal system: tetragonal
Formation energy from raw total energies: 0.05 eV/atom

---

(5)
Below is a relaxed structure of Zn2Hg2I, with properties calculated at the PBE-GGA level.

POSCAR file:
```
Zn2Hg2I
1.0
-0.385 4.663 1.466
-4.262 -1.041 2.191
0.445 0.537 6.610
Zn Hg I
2 2 1
Direct
0.750 0.250 0.500
0.250 0.750 0.500
0.369 0.369 0.262
0.631 0.631 0.738
0.000 0.000 0.000
```

Computed properties:
Crystal system: tetragonal
Formation energy from raw total energies: 0.07 eV/atom
Energy above the most stable polymorph in this dataset: 0.000 eV/atom

---

(6)
Below is a relaxed structure of Zn3HgI9, with properties calculated at the PBE-GGA level.

POSCAR file:
```
Zn3HgI9
1.0
8.836 0.000 3.718
4.293 10.219 2.157
-0.343 -1.185 13.174
I Zn Hg
18 6 2
Direct
0.561 0.790 0.713
0.501 0.489 0.241
0.825 0.445 0.864
0.336 0.320 0.923
0.422 0.820 0.423
0.770 0.989 0.741
0.827 0.064 0.049
0.399 0.207 0.609
0.785 0.707 0.109
0.098 0.082 0.697
0.699 0.385 0.602
0.183 0.705 0.813
0.314 0.885 0.102
0.936 0.290 0.213
0.866 0.945 0.364
0.061 0.564 0.549
0.300 0.205 0.313
0.123 0.582 0.197
0.774 0.549 0.683
0.994 0.049 0.183
0.557 0.236 0.727
0.213 0.455 0.353
0.979 0.955 0.853
0.480 0.736 0.227
0.530 0.033 0.406
0.032 0.533 0.906
```

Computed properties:
Crystal system: monoclinic
Formation energy from raw total energies: -0.37 eV/atom

---

(7)
Below is a relaxed structure of ZnHgI3, with properties calculated at the PBE-GGA level.

POSCAR file:
```
ZnHgI3
1.0
7.151 0.000 -1.674
0.000 9.345 0.000
-3.392 0.000 14.434
Hg I Zn
4 12 4
Direct
0.270 0.515 0.855
0.730 0.485 0.145
0.270 0.985 0.355
0.730 0.015 0.645
0.738 0.898 0.968
0.262 0.102 0.032
0.262 0.398 0.532
0.294 0.871 0.572
0.971 0.211 0.226
0.706 0.129 0.428
0.029 0.789 0.774
0.029 0.711 0.274
0.294 0.629 0.072
0.971 0.289 0.726
0.738 0.602 0.468
0.706 0.371 0.928
0.910 0.348 0.539
0.090 0.848 0.961
0.910 0.152 0.039
0.090 0.652 0.461
```

Computed properties:
Crystal system: monoclinic
Formation energy from raw total energies: -0.35 eV/atom
Energy above the most stable polymorph in this dataset: 0.000 eV/atom

---

(8)
Below is a relaxed structure of Zn2HgI4, with properties calculated at the PBE-GGA level.

POSCAR file:
```
Zn2HgI4
1.0
8.909 -0.578 -1.739
-5.058 7.357 -1.740
-0.303 -0.534 9.102
Hg Zn I
2 4 8
Direct
0.250 0.750 0.500
0.000 0.000 0.000
0.125 0.419 0.795
0.624 0.330 0.205
0.669 0.875 0.295
0.580 0.374 0.705
0.289 0.565 0.133
0.406 0.182 0.367
0.842 0.709 0.271
0.438 0.571 0.729
0.815 0.039 0.633
0.959 0.592 0.771
0.432 0.156 0.867
0.821 0.188 0.229
```

Computed properties:
Crystal system: orthorhombic
Formation energy from raw total energies: -0.40 eV/atom

---

(9)
Below is a relaxed structure of Zn2HgI2, with properties calculated at the PBE-GGA level.

POSCAR file:
```
Zn2HgI2
1.0
5.478 0.000 0.000
0.000 5.478 0.000
2.739 2.739 5.118
I Hg Zn
2 1 2
Direct
0.750 0.250 0.500
0.250 0.750 0.500
0.000 0.000 0.000
0.618 0.618 0.763
0.382 0.382 0.237
```

Computed properties:
Crystal system: tetragonal
Formation energy from raw total energies: -0.11 eV/atom
Energy above the most stable polymorph in this dataset: 0.000 eV/atom

---

(10)
Below is a relaxed structure of ZrHgI3, with properties calculated at the PBE-GGA level.

POSCAR file:
```
ZrHgI3
1.0
5.785 0.000 0.000
0.000 5.785 0.000
0.000 0.000 5.785
I Zr Hg
3 1 1
Direct
0.000 0.000 0.500
0.500 0.000 0.000
0.000 0.500 0.000
0.000 0.000 0.000
0.500 0.500 0.500
```

Computed properties:
Crystal system: cubic
Formation energy from raw total energies: -0.51 eV/atom
Energy above the most stable polymorph in this dataset: 0.150 eV/atom

---

(11)
Below is a relaxed structure of Zr2HgI4, with properties calculated at the PBE-GGA level.

POSCAR file:
```
Zr2HgI4
1.0
3.690 0.000 -0.739
-0.330 6.701 -1.650
0.317 0.375 11.172
I Zr Hg
4 2 1
Direct
0.648 0.012 0.295
0.352 0.988 0.705
0.174 0.528 0.348
0.826 0.472 0.652
0.248 0.186 0.495
0.752 0.814 0.505
0.500 0.500 0.000
```

Computed properties:
Crystal system: monoclinic
Formation energy from raw total energies: -0.73 eV/atom

---

(12)
Below is a relaxed structure of ZrHgI3, with properties calculated at the PBE-GGA level.

POSCAR file:
```
ZrHgI3
1.0
5.870 0.000 0.000
0.000 5.870 0.000
0.000 0.000 5.870
I Zr Hg
3 1 1
Direct
0.000 0.500 0.000
0.500 0.000 0.000
0.000 0.000 0.500
0.500 0.500 0.500
0.000 0.000 0.000
```

Computed properties:
Crystal system: cubic
Formation energy from raw total energies: 0.53 eV/atom
Energy above the most stable polymorph in this dataset: 1.196 eV/atom

---

Q: Which of these has the lowest formation energy from raw total energies?
A: Zr2HgI4